*one*
Ba2YAg | GGA-PBE | relaxed

a b c (Å): 6.773 6.773 6.773
angles (deg): 135.52 135.52 64.73
Fractional positions:
Ag  0.750  0.250  0.500
Ba  0.000  0.000  0.000
Ba  0.500  0.500  0.000
Y  0.250  0.750  0.500

Summary:
Space-group type: I4/mmm (139)
Total moment (Bohr magnetons per cell): 0.0

***

*two*
Ba2YAg | GGA-PBE | relaxed

a b c (Å): 4.166 5.774 7.616
angles (deg): 67.74 90.00 90.00
Fractional positions:
Y  0.000  0.681  0.512
Ag  0.500  0.534  0.807
Ba  0.500  0.294  0.287
Ba  0.000  0.991  0.893

Summary:
Space-group type: Amm2 (38)
Total moment (Bohr magnetons per cell): 0.0

***

Q: Which of them is the least stable? A: *one*.

***

*one*
Ba2YAg | GGA-PBE | relaxed

a b c (Å): 11.533 11.533 11.533
angles (deg): 20.69 20.69 20.69
Each line ends with the local moment (μB).
Fractional positions:
Y  0.250  0.250  0.250  0.32
Ba  0.488  0.488  0.488  0.07
Ba  0.012  0.012  0.012  0.07
Ag  0.750  0.750  0.750  0.01

Summary:
Space-group type: R-3m (166)
Total moment (Bohr magnetons per cell): 1.1

***

*two*
Ba2YAg | GGA-PBE | relaxed

a b c (Å): 9.727 9.727 7.713
angles (deg): 50.91 50.91 90.00
Fractional positions:
Ba  0.875  0.931  0.750
Ba  0.375  0.319  0.750
Ba  0.681  0.125  0.250
Ba  0.069  0.625  0.250
Ag  0.750  0.250  0.500
Ag  0.000  0.000  0.000
Y  0.500  0.500  0.000
Y  0.250  0.750  0.500

Summary:
Space-group type: I-42d (122)
Total moment (Bohr magnetons per cell): 0.0

***

*three*
Ba2YAg | GGA-PBE | relaxed

a b c (Å): 4.047 4.047 9.833
angles (deg): 90.00 90.00 90.00
Each line ends with the local moment (μB).
Fractional positions:
Ag  0.500  0.500  0.750  0.00
Y  0.500  0.500  0.250  0.40
Ba  0.000  0.000  0.957  0.05
Ba  0.000  0.000  0.543  0.05

Summary:
Space-group type: P4/mmm (123)
Total moment (Bohr magnetons per cell): 1.2

***

Q: Which of them is the least stable? A: *two*.

***

*one*
Ba2Zn3Ag5 | GGA-PBE | relaxed

a b c (Å): 4.714 4.714 10.963
angles (deg): 90.00 90.00 90.00
Fractional positions:
Zn  0.000  0.500  0.388
Zn  0.500  0.000  0.612
Zn  0.000  0.000  0.500
Ba  0.500  0.000  0.253
Ba  0.000  0.500  0.747
Ag  0.500  0.500  0.000
Ag  0.500  0.000  0.854
Ag  0.500  0.500  0.500
Ag  0.000  0.000  0.000
Ag  0.000  0.500  0.146

Summary:
Space-group type: P-4m2 (115)
Total moment (Bohr magnetons per cell): 0.0

***

*two*
Ba2Zn3Ag5 | GGA-PBE | relaxed

a b c (Å): 6.858 9.249 9.249
angles (deg): 69.10 68.24 68.24
Fractional positions:
Ag  0.990  0.260  0.260
Ag  0.250  0.500  0.500
Ag  0.380  0.243  0.997
Ag  0.620  0.757  0.003
Ag  0.120  0.003  0.757
Ag  0.010  0.740  0.740
Ag  0.880  0.997  0.243
Ag  0.750  0.500  0.500
Ag  0.490  0.260  0.260
Ag  0.510  0.740  0.740
Zn  0.250  0.000  0.000
Zn  0.879  0.744  0.498
Zn  0.621  0.502  0.256
Zn  0.121  0.256  0.502
Zn  0.750  0.000  0.000
Zn  0.379  0.498  0.744
Ba  0.127  0.626  0.120
Ba  0.627  0.120  0.626
Ba  0.873  0.374  0.880
Ba  0.373  0.880  0.374

Summary:
Space-group type: Ibam (72)
Total moment (Bohr magnetons per cell): 0.0

***

Q: Which of them is the least stable? A: *one*.